This record from Alexandria describes a relaxed SrEuBiPb crystal. The functional is GGA-PBE.

The structure in POSCAR format:
```
SrEuBiPb
1.0
5.795 0.000 0.000
2.897 5.018 0.000
2.897 1.673 4.731
Eu Sr Bi Pb
1 1 1 1
Direct
0.500 0.500 0.500
0.000 0.000 0.000
0.750 0.750 0.750
0.250 0.250 0.250
```

## Properties
Formation energy from the elements ... -593 meV per atom